Here is an optimized crystal structure of TbThCS from the Alexandria database. Energies are from PBE. Values from VASP.

Properties
* raw formation energy: -1.234 eV/atom
* space-group type: R3m
* V: 20.48 Å³/atom
* crystal system: trigonal

```
&SYSTEM
  ibrav = 0, nat = 4, ntyp = 4
/
ATOMIC_SPECIES
C 12.01 C.upf
S 32.06 S.upf
Tb 158.93 Tb.upf
Th 232.04 Th.upf
CELL_PARAMETERS angstrom
3.8084 0.0000 0.0000
1.9042 3.2981 0.0000
1.9042 1.0994 6.5206
ATOMIC_POSITIONS angstrom
C 5.7125 3.2981 5.9957
S 1.9042 1.0994 2.7759
Tb 3.8084 2.1988 4.5581
Th 5.7125 3.2981 0.8248
```

Here is an optimized crystal structure of Sc3AsBr3 from the Alexandria database. Energies are from PBE. Values from VASP.

Properties
* raw formation energy: -1.388 eV/atom
* space-group type: I4_132
* V: 24.24 Å³/atom
* crystal system: cubic

```
&SYSTEM
  ibrav = 0, nat = 28, ntyp = 3
/
ATOMIC_SPECIES
Sc 44.96 Sc.upf
Br 79.90 Br.upf
As 74.92 As.upf
CELL_PARAMETERS angstrom
9.0411 0.0000 -3.1965
-4.5206 7.8298 -3.1965
0.0000 0.0000 9.5895
ATOMIC_POSITIONS angstrom
Sc 2.1911 0.1199 3.7999
Sc 6.5732 3.7950 -2.3974
Sc 5.5123 5.8724 -5.3982
Sc 2.4679 3.7950 3.9956
Sc 7.8418 1.8376 0.6034
Sc 3.5980 2.0773 -2.3974
Sc 4.5206 3.6752 0.7991
Sc 1.1993 1.8376 0.9949
Sc 4.5206 0.2397 0.7991
Sc 3.5288 5.8724 -2.5931
Sc 6.8500 0.1199 -2.2016
Sc 5.4431 2.0773 3.9956
Br 1.0955 5.8524 5.5939
Br 2.2718 7.8098 -0.7665
Br 2.2256 3.9349 -0.7991
Br -1.1070 1.9575 8.7577
Br 3.3789 5.8924 2.3647
Br -2.2256 3.9349 5.5939
Br -3.3789 5.8924 2.4301
Br -1.0955 5.8524 -0.7991
Br 0.0000 3.9549 2.3974
Br -2.2718 7.8098 5.5612
Br 1.1070 1.9575 5.6266
Br 0.0000 7.7898 2.3974
As 5.6507 1.9575 -0.7991
As 4.5206 3.9149 -3.9956
As 3.3904 1.9575 2.3974
As 0.0000 0.0000 2.3974
```

Here is an optimized crystal structure of TlSnF3 from the Alexandria database. Energies are from PBE. Values from VASP.

Properties
* raw formation energy: -2.103 eV/atom
* space-group type: P2_1/c
* V: 21.17 Å³/atom
* crystal system: monoclinic

```
&SYSTEM
  ibrav = 0, nat = 20, ntyp = 3
/
ATOMIC_SPECIES
F 19.00 F.upf
Tl 204.38 Tl.upf
Sn 118.71 Sn.upf
CELL_PARAMETERS angstrom
-0.6047 -2.0935 6.9586
7.4417 -2.4159 -0.0802
-0.1754 7.5033 2.2421
ATOMIC_POSITIONS angstrom
F 5.8886 -3.4449 6.7496
F 6.5618 -1.5338 4.8092
F 0.0999 4.5277 4.3114
F 4.0715 0.1327 1.2737
F 2.3243 2.3605 5.0993
F 4.8955 3.2649 6.1641
F 1.7661 -0.2710 2.9565
F 0.7730 6.4388 2.3710
F 1.1082 0.1873 6.8577
F 4.3373 0.6334 4.0213
F 2.5902 2.8612 7.8469
F 5.5535 2.8066 2.2629
Tl 6.5423 0.1169 2.5503
Tl 2.7395 5.0964 3.6452
Tl 3.9222 -2.1025 5.4754
Tl 0.1194 2.8770 6.5703
Sn 6.6089 3.9620 3.6775
Sn 2.9759 1.4188 2.5947
Sn 0.0528 -0.9681 5.4431
Sn 3.6858 1.5751 6.5259
```

Here is an optimized crystal structure of Pm3Zn7Rh4 from the Alexandria database. Energies are from PBE. Values from VASP.

Properties
* space-group type: C2/m
* calculated formation energy: -0.525 eV/atom
* V: 18.36 Å³/atom
* crystal system: monoclinic

```
&SYSTEM
  ibrav = 0, nat = 14, ntyp = 3
/
ATOMIC_SPECIES
Pm 145.00 Pm.upf
Zn 65.41 Zn.upf
Rh 102.91 Rh.upf
CELL_PARAMETERS angstrom
4.2256 0.0000 1.0660
1.5619 7.2841 2.7169
0.1252 0.0983 8.4116
ATOMIC_POSITIONS angstrom
Pm 1.6003 1.4231 2.5644
Pm 0.8436 3.6912 5.5643
Pm 4.3124 5.9593 9.6301
Zn 2.7242 6.0810 7.0176
Zn 0.0000 0.0000 0.0000
Zn 3.1886 1.3013 5.1770
Zn 2.5487 1.7390 7.7135
Zn 1.5644 4.6824 2.7067
Zn 3.3641 5.6434 4.4811
Zn 4.3483 2.7000 9.4878
Rh 5.1973 6.5769 6.1225
Rh 3.6112 3.3065 3.5018
Rh 0.7155 0.8055 6.0720
Rh 2.3016 4.0759 8.6927
```

Here is an optimized crystal structure of Sm3Dy2Tm7 from the Alexandria database. Energies are from PBE. Values from VASP.

Properties
* space-group type: P2/m
* calculated formation energy: 0.090 eV/atom
* V: 31.54 Å³/atom
* crystal system: monoclinic

```
&SYSTEM
  ibrav = 0, nat = 12, ntyp = 3
/
ATOMIC_SPECIES
Tm 168.93 Tm.upf
Dy 162.50 Dy.upf
Sm 150.36 Sm.upf
CELL_PARAMETERS angstrom
3.4964 0.0000 0.0000
0.0000 6.2367 0.7334
0.0000 2.3434 17.6327
ATOMIC_POSITIONS angstrom
Tm 1.7482 0.7530 2.9656
Tm 1.7482 5.8713 9.3600
Tm 1.7482 2.7087 9.0061
Tm 0.0000 0.0000 0.0000
Tm 0.0000 4.6806 15.0451
Tm 1.7482 7.8270 15.4005
Tm 0.0000 3.8994 3.3210
Dy 1.7482 3.9711 12.1749
Dy 1.7482 4.6089 6.1913
Sm 0.0000 7.0952 12.2550
Sm 1.7482 3.1183 0.3667
Sm 0.0000 1.4848 6.1111
```

Here is an optimized crystal structure of ScAuBr from the Alexandria database. Energies are from PBE. Values from VASP.

Properties
* raw formation energy: -0.779 eV/atom
* space-group type: I4mm
* V: 24.79 Å³/atom
* crystal system: tetragonal

```
&SYSTEM
  ibrav = 0, nat = 3, ntyp = 3
/
ATOMIC_SPECIES
Au 196.97 Au.upf
Br 79.90 Br.upf
Sc 44.96 Sc.upf
CELL_PARAMETERS angstrom
7.1278 0.0294 -0.0313
6.3394 3.2587 -0.0350
0.7884 0.1962 3.2233
ATOMIC_POSITIONS angstrom
Au 1.3249 0.3271 3.0841
Br 4.4939 1.0998 2.2619
Sc 9.2253 2.2536 1.0344
```

Here is an optimized crystal structure of TaS from the Alexandria database. Energies are from PBE. Values from VASP.

Properties
* raw formation energy: 0.051 eV/atom
* space-group type: Pm-3n
* V: 24.88 Å³/atom
* crystal system: cubic

```
&SYSTEM
  ibrav = 0, nat = 12, ntyp = 2
/
ATOMIC_SPECIES
Ta 180.95 Ta.upf
S 32.06 S.upf
CELL_PARAMETERS angstrom
-5.8745 -0.7609 3.0954
-2.7909 -1.9077 -5.7655
1.5399 -6.3602 1.3590
ATOMIC_POSITIONS angstrom
Ta -5.8013 -1.5245 -0.5612
Ta -1.7823 -5.1506 2.5670
Ta -2.8641 -1.1441 -2.1089
Ta 0.0722 -3.6570 -0.7619
Ta -1.3233 -4.6108 -3.6446
Ta -2.5523 -1.9705 1.8875
S -1.0105 -2.5439 -2.5430
S -3.6350 -0.8573 0.1063
S -0.6987 -3.3703 1.4534
S -3.6359 -3.7507 3.0011
S -0.2406 -5.7240 -1.8635
S -5.0304 -1.8112 -2.7764
```

Here is an optimized crystal structure of MgTeHI2 from the Alexandria database. Energies are from PBE. Values from VASP.

Properties
* space-group type: P4/mmm
* energy: -2.02 eV/atom
* V: 26.61 Å³/atom
* crystal system: tetragonal

```
&SYSTEM
  ibrav = 0, nat = 5, ntyp = 4
/
ATOMIC_SPECIES
Mg 24.30 Mg.upf
Te 127.60 Te.upf
I 126.90 I.upf
H 1.01 H.upf
CELL_PARAMETERS angstrom
-2.2439 1.9388 -4.9972
-5.2193 -2.0240 1.5584
-0.8278 3.4519 1.7110
ATOMIC_POSITIONS angstrom
Mg -4.1455 1.6834 -0.8639
Te -0.4139 1.7259 0.8555
I -1.1220 0.9694 -2.4986
I -2.6096 -1.0120 0.7792
H 0.0000 0.0000 0.0000
```

Here is an optimized crystal structure of Pm5ScAg6 from the Alexandria database. Energies are from PBE. Values from VASP.

Properties
* space-group type: Immm
* calculated formation energy: -0.255 eV/atom
* V: 24.99 Å³/atom
* crystal system: orthorhombic

```
&SYSTEM
  ibrav = 0, nat = 12, ntyp = 3
/
ATOMIC_SPECIES
Ag 107.87 Ag.upf
Pm 145.00 Pm.upf
Sc 44.96 Sc.upf
CELL_PARAMETERS angstrom
-2.8633 3.8127 -2.0472
0.6781 -6.4072 -6.3045
-3.6451 -1.9703 8.0056
ATOMIC_POSITIONS angstrom
Ag -2.0543 -0.3702 2.1836
Ag -2.7310 0.8880 -1.1004
Ag -0.6858 -1.7747 -2.3464
Ag -3.0993 -5.4529 0.7544
Ag -5.1445 -2.7901 2.0004
Ag -3.7760 -4.1947 -2.5296
Pm -2.9152 -2.2824 -0.1730
Pm -2.1904 -3.4633 3.1904
Pm -4.3381 -0.8220 4.5371
Pm -1.4922 -3.7428 -4.8831
Pm -0.7766 -4.9142 -1.4893
Sc 0.0000 0.0000 0.0000
```

Here is an optimized crystal structure of ScMoP2 from the Alexandria database. Energies are from PBE. Values from VASP.

Properties
* space-group type: F-43m
* calculated formation energy: 0.068 eV/atom
* V: 15.38 Å³/atom
* crystal system: cubic

```
&SYSTEM
  ibrav = 0, nat = 4, ntyp = 3
/
ATOMIC_SPECIES
Sc 44.96 Sc.upf
Mo 95.94 Mo.upf
P 30.97 P.upf
CELL_PARAMETERS angstrom
0.0000 3.1329 3.1329
3.1329 0.0000 3.1329
3.1329 3.1329 0.0000
ATOMIC_POSITIONS angstrom
Sc 1.5665 1.5665 1.5665
Mo 3.1329 3.1329 3.1329
P 0.0000 0.0000 0.0000
P 4.6994 4.6994 4.6994
```

Here is an optimized crystal structure of InCoSb2Te from the Alexandria database. Energies are from PBE. Values from VASP.

Properties
* raw formation energy: 1.391 eV/atom
* space-group type: P4/mmm
* V: 30.77 Å³/atom
* crystal system: tetragonal

```
&SYSTEM
  ibrav = 0, nat = 5, ntyp = 4
/
ATOMIC_SPECIES
In 114.82 In.upf
Sb 121.76 Sb.upf
Te 127.60 Te.upf
Co 58.93 Co.upf
CELL_PARAMETERS angstrom
-4.9096 -2.0418 0.2761
1.4087 -3.8473 -3.4005
1.5325 -3.1215 4.1665
ATOMIC_POSITIONS angstrom
In 0.0000 0.0000 0.0000
Sb 0.7044 -1.9236 -1.7002
Sb -2.4548 -1.0209 0.1381
Te 0.7663 -1.5607 2.0832
Co -0.9842 -4.5053 0.5211
```

Here is an optimized crystal structure of Tb6Dy3Y2Tl from the Alexandria database. Energies are from PBE. Values from VASP.

Properties
* space-group type: C2/m
* calculated formation energy: -0.016 eV/atom
* V: 30.98 Å³/atom
* crystal system: monoclinic

```
&SYSTEM
  ibrav = 0, nat = 12, ntyp = 4
/
ATOMIC_SPECIES
Dy 162.50 Dy.upf
Tb 158.93 Tb.upf
Tl 204.38 Tl.upf
Y 88.91 Y.upf
CELL_PARAMETERS angstrom
-0.0981 0.4020 -6.0964
5.1838 -1.4534 2.8900
-4.4585 -10.7999 0.3906
ATOMIC_POSITIONS angstrom
Dy -1.4440 -5.3082 -4.3981
Dy 0.3136 -5.9256 -1.4078
Dy 2.0712 -6.5431 1.5824
Tb 2.7141 -3.4968 -2.3173
Tb 1.0132 -3.2498 0.7849
Tb -0.3860 -8.6015 -3.6006
Tb -2.0869 -8.3545 -0.4984
Tb 1.3513 -9.2118 -0.6449
Tb -0.7241 -2.6395 -2.1708
Tl 0.0000 0.0000 0.0000
Y 3.4190 -0.8335 -0.1125
Y 1.6667 -0.2179 -3.0938
```

Question: Look up the V of the sixth one.
Answer: 24.79 Å³/atom

Question: What is the V in the eighth record?
Answer: 26.61 Å³/atom